No. 1
Density functional theory data (GGA-PBEsol) for a relaxed structure of InPdNO2.

Unit cell a=3.7218 b=4.0328 c=4.0328 alpha=90.00 beta=90.00 gamma=90.00
Fractional coordinates of all 5 atoms:
Pd (0.0000, 0.0000, 0.0000)
O (0.0000, 0.0000, 0.5000)
In (0.5000, 0.5000, 0.5000)
O (0.0000, 0.5000, 0.0000)
N (0.5000, 0.0000, 0.0000)

Values from the calculation:
For the size of the total moment, the calculation gives 0.000 μB per atom. For the theoretical density, the calculation gives 7.3 g/cm³. As for the energy relative to the elements, uncorrected: 208 meV per atom.


No. 2
Density functional theory data (GGA-PBEsol) for a relaxed structure of LaHg2.

Unit cell a=5.2612 b=5.2612 c=6.5312 alpha=90.00 beta=90.00 gamma=120.00
Fractional coordinates of all 6 atoms:
Hg (0.6667, 0.3333, 0.7500)
Hg (0.0000, 0.0000, 0.0000)
Hg (0.3333, 0.6667, 0.2500)
Hg (0.0000, 0.0000, 0.5000)
La (0.6667, 0.3333, 0.2500)
La (0.3333, 0.6667, 0.7500)

Values from the calculation:
For the size of the total moment, the calculation gives 0.000 μB per atom. For the theoretical density, the calculation gives 11.5 g/cm³. The value obtained for the calculated formation energy is -547 meV/atom.


No. 3
Density functional theory data (GGA-PBEsol) for a relaxed structure of CuIr3.

Unit cell a=2.6939 b=4.6401 c=5.1106 alpha=117.00 beta=105.28 gamma=90.00
Fractional coordinates of all 4 atoms:
Cu (0.0000, 0.0001, 0.0000)
Ir (0.2452, 0.5766, 0.4903)
Ir (0.5000, 0.5037, 0.0000)
Ir (0.7548, 0.0863, 0.5097)

Values from the calculation:
For the size of the total moment, the calculation gives 0.000 μB per atom. For the theoretical density, the calculation gives 19.6 g/cm³. The value obtained for the calculated formation energy is 104 meV/atom.


No. 4
Density functional theory data (GGA-PBEsol) for a relaxed structure of Ni3Mo3C.

Unit cell a=7.7245 b=7.7245 c=7.7245 alpha=60.00 beta=60.00 gamma=60.00
Fractional coordinates of all 28 atoms:
Ni (0.5000, 0.8333, 0.8333)
Ni (0.6250, 0.1250, 0.6250)
Mo (0.7967, 0.2033, 0.2033)
C (0.1250, 0.1250, 0.6250)
Ni (0.6250, 0.6250, 0.1250)
Ni (0.1250, 0.6250, 0.6250)
C (0.6250, 0.1250, 0.1250)
Mo (0.2033, 0.7967, 0.7967)
C (0.1250, 0.6250, 0.1250)
Ni (0.8333, 0.8333, 0.5000)
Ni (0.8333, 0.5000, 0.8333)
Ni (0.4167, 0.4167, 0.7500)
Mo (0.7967, 0.2033, 0.7967)
Mo (0.4533, 0.0467, 0.0467)
Ni (0.8333, 0.8333, 0.8333)
Mo (0.4533, 0.4533, 0.0467)
Mo (0.7967, 0.7967, 0.2033)
Mo (0.4533, 0.0467, 0.4533)
Mo (0.0467, 0.4533, 0.0467)
Ni (0.4167, 0.7500, 0.4167)
Ni (0.6250, 0.6250, 0.6250)
Mo (0.2033, 0.2033, 0.7967)
Mo (0.2033, 0.7967, 0.2033)
Mo (0.0467, 0.0467, 0.4533)
Ni (0.4167, 0.4167, 0.4167)
C (0.1250, 0.1250, 0.1250)
Mo (0.0467, 0.4533, 0.4533)
Ni (0.7500, 0.4167, 0.4167)

Values from the calculation:
For the size of the total moment, the calculation gives 0.000 μB per atom. For the theoretical density, the calculation gives 9.7 g/cm³. The value obtained for the calculated formation energy is -113 meV/atom.


No. 5
Density functional theory data (GGA-PBEsol) for a relaxed structure of LiTa2Al.

Unit cell a=5.1845 b=5.6673 c=5.6673 alpha=77.92 beta=62.78 gamma=62.78
Fractional coordinates of all 8 atoms:
Al (0.0000, 0.0000, 0.0000)
Ta (0.3750, 0.4892, 0.0108)
Al (0.7500, 0.5000, 0.5000)
Li (0.2500, 0.5000, 0.5000)
Ta (0.8750, 0.5108, 0.9892)
Ta (0.6142, 0.0108, 0.5108)
Ta (0.1358, 0.9892, 0.4892)
Li (0.5000, 0.0000, 0.0000)

Values from the calculation:
For the size of the total moment, the calculation gives 0.000 μB per atom. For the theoretical density, the calculation gives 10.0 g/cm³. The value obtained for the calculated formation energy is 643 meV/atom. The polymorph energy (0 for the lowest one) comes out at 0.523 eV per atom.


No. 6
Density functional theory data (GGA-PBEsol) for a relaxed structure of Cs2NaScI6.

Unit cell a=8.3720 b=8.3720 c=8.3720 alpha=60.00 beta=60.00 gamma=60.00
Fractional coordinates of all 10 atoms:
I (0.7594, 0.2406, 0.2406)
Cs (0.7500, 0.7500, 0.7500)
I (0.7594, 0.7594, 0.2406)
I (0.7594, 0.2406, 0.7594)
Cs (0.2500, 0.2500, 0.2500)
Na (0.5000, 0.5000, 0.5000)
I (0.2406, 0.7594, 0.2406)
Sc (0.0000, 0.0000, 0.0000)
I (0.2406, 0.2406, 0.7594)
I (0.2406, 0.7594, 0.7594)

Values from the calculation:
For the size of the total moment, the calculation gives 0.000 μB per atom. For the theoretical density, the calculation gives 4.4 g/cm³. As for the energy relative to the elements, uncorrected: -1374 meV per atom.


No. 7
Density functional theory data (GGA-PBEsol) for a relaxed structure of PCS2Cl.

Unit cell a=4.4904 b=4.4904 c=4.6034 alpha=90.00 beta=90.00 gamma=90.00
Fractional coordinates of all 5 atoms:
Cl (0.0000, 0.0000, 0.0000)
S (0.5000, 0.0000, 0.0000)
P (0.0000, 0.0000, 0.5000)
C (0.5000, 0.5000, 0.5000)
S (0.0000, 0.5000, 0.0000)

Values from the calculation:
For the size of the total moment, the calculation gives 0.049 μB per atom. For the theoretical density, the calculation gives 2.6 g/cm³. As for the energy relative to the elements, uncorrected: 2503 meV per atom.


No. 8
Density functional theory data (GGA-PBEsol) for a relaxed structure of SrTcBr.

Unit cell a=3.3015 b=3.3015 c=6.3709 alpha=105.01 beta=105.01 gamma=90.01
Fractional coordinates of all 3 atoms:
Br (0.0356, 0.0356, 0.0712)
Tc (0.6369, 0.6369, 0.2739)
Sr (0.3275, 0.3275, 0.6550)

Values from the calculation:
For the size of the total moment, the calculation gives 0.000 μB per atom. For the theoretical density, the calculation gives 6.8 g/cm³. As for the energy relative to the elements, uncorrected: 409 meV per atom.


No. 9
Density functional theory data (GGA-PBEsol) for a relaxed structure of TmTiClO3.

Unit cell a=3.8380 b=5.2416 c=9.5422 alpha=105.34 beta=90.00 gamma=111.48
Fractional coordinates of all 12 atoms:
O (0.9216, 0.8431, 0.3725)
Ti (0.1181, 0.2361, 0.4271)
Cl (0.6138, 0.2277, 0.9051)
O (0.6693, 0.3386, 0.4318)
O (0.3307, 0.6614, 0.5682)
O (0.1497, 0.2995, 0.2436)
Tm (0.7242, 0.4483, 0.2027)
O (0.8503, 0.7005, 0.7564)
Tm (0.2758, 0.5517, 0.7973)
Cl (0.3862, 0.7723, 0.0949)
O (0.0784, 0.1569, 0.6275)
Ti (0.8819, 0.7639, 0.5729)

Values from the calculation:
For the size of the total moment, the calculation gives 0.000 μB per atom. For the theoretical density, the calculation gives 5.8 g/cm³. As for the energy relative to the elements, uncorrected: -3138 meV per atom.


No. 10
Density functional theory data (GGA-PBEsol) for a relaxed structure of MgZr2Te.

Unit cell a=3.5087 b=4.9951 c=5.8288 alpha=115.26 beta=107.52 gamma=90.00
Fractional coordinates of all 4 atoms:
Zr (0.9903, 0.9409, 0.9806)
Te (0.2550, 0.8110, 0.5099)
Mg (0.5075, 0.4565, 0.0150)
Zr (0.7472, 0.2917, 0.4944)

Values from the calculation:
For the size of the total moment, the calculation gives 0.000 μB per atom. For the theoretical density, the calculation gives 6.4 g/cm³. As for the energy relative to the elements, uncorrected: -300 meV per atom. The polymorph energy (0 for the lowest one) comes out at 0.020 eV per atom.


No. 11
Density functional theory data (GGA-PBEsol) for a relaxed structure of K4HgP2.

Unit cell a=5.5885 b=5.5885 c=9.5086 alpha=72.91 beta=72.91 gamma=60.00
Fractional coordinates of all 7 atoms:
K (0.3903, 0.3903, 0.8292)
P (0.0889, 0.0889, 0.7332)
K (0.2074, 0.2074, 0.3778)
K (0.6097, 0.6097, 0.1708)
Hg (0.0000, 0.0000, 0.0000)
K (0.7926, 0.7926, 0.6222)
P (0.9111, 0.9111, 0.2668)

Values from the calculation:
For the size of the total moment, the calculation gives 0.000 μB per atom. For the theoretical density, the calculation gives 2.9 g/cm³. The value obtained for the calculated formation energy is -360 meV/atom.


No. 12
Density functional theory data (GGA-PBEsol) for a relaxed structure of La2YMn.

Unit cell a=3.6284 b=5.4774 c=6.2621 alpha=115.93 beta=106.84 gamma=90.00
Fractional coordinates of all 4 atoms:
La (0.1970, 0.1970, 0.3941)
La (0.8030, 0.8030, 0.6059)
Y (0.0000, 0.5000, 0.0000)
Mn (0.5000, 0.0000, 0.0000)

Values from the calculation:
For the size of the total moment, the calculation gives 0.408 μB per atom. For the theoretical density, the calculation gives 6.6 g/cm³. The value obtained for the calculated formation energy is 241 meV/atom. The polymorph energy (0 for the lowest one) comes out at 0.000 eV per atom.


Please write out number 4 again, unchanged.
Density functional theory data (GGA-PBEsol) for a relaxed structure of Ni3Mo3C.

Unit cell a=7.7245 b=7.7245 c=7.7245 alpha=60.00 beta=60.00 gamma=60.00
Fractional coordinates of all 28 atoms:
Ni (0.5000, 0.8333, 0.8333)
Ni (0.6250, 0.1250, 0.6250)
Mo (0.7967, 0.2033, 0.2033)
C (0.1250, 0.1250, 0.6250)
Ni (0.6250, 0.6250, 0.1250)
Ni (0.1250, 0.6250, 0.6250)
C (0.6250, 0.1250, 0.1250)
Mo (0.2033, 0.7967, 0.7967)
C (0.1250, 0.6250, 0.1250)
Ni (0.8333, 0.8333, 0.5000)
Ni (0.8333, 0.5000, 0.8333)
Ni (0.4167, 0.4167, 0.7500)
Mo (0.7967, 0.2033, 0.7967)
Mo (0.4533, 0.0467, 0.0467)
Ni (0.8333, 0.8333, 0.8333)
Mo (0.4533, 0.4533, 0.0467)
Mo (0.7967, 0.7967, 0.2033)
Mo (0.4533, 0.0467, 0.4533)
Mo (0.0467, 0.4533, 0.0467)
Ni (0.4167, 0.7500, 0.4167)
Ni (0.6250, 0.6250, 0.6250)
Mo (0.2033, 0.2033, 0.7967)
Mo (0.2033, 0.7967, 0.2033)
Mo (0.0467, 0.0467, 0.4533)
Ni (0.4167, 0.4167, 0.4167)
C (0.1250, 0.1250, 0.1250)
Mo (0.0467, 0.4533, 0.4533)
Ni (0.7500, 0.4167, 0.4167)

Values from the calculation:
For the size of the total moment, the calculation gives 0.000 μB per atom. For the theoretical density, the calculation gives 9.7 g/cm³. The value obtained for the calculated formation energy is -113 meV/atom.